# 1
DFT (GGA-PBE) results for crystalline Mg2ZrAu at its relaxed geometry.

Calculated values
Uncorrected energy ... -29.94 eV for the cell shown
V ... 22.07 Å³/atom
Space group ... I-42d, No. 122
Formation energy ... 0.04 eV per formula unit
Energy above the lowest structure with this stoichiometry ... 0.289 eV per atom

extended XYZ file:
```
8
Lattice="-4.781 6.115 -1.038 -2.803 -3.300 -6.525 -5.826 0.080 -2.237" Properties=species:S:1:pos:R:3 pbc="T T T"
Mg -5.002 3.693 -2.069
Mg -3.600 -1.543 -4.723
Mg -7.093 1.258 -4.232
Mg -11.127 2.380 -8.578
Au 0.000 0.000 0.000
Au -7.200 3.801 -3.529
Zr -3.792 1.407 -3.782
Zr -6.211 -0.907 -6.272
```


# 2
DFT (GGA-PBE) results for crystalline MgZr2Au4 at its relaxed geometry.

Calculated values
Uncorrected energy ... -34.83 eV for the cell shown
V ... 20.76 Å³/atom
Space group ... C2/m, No. 12
Formation energy ... -3.03 eV per formula unit

extended XYZ file:
```
7
Lattice="-1.840 4.369 -0.466 -2.547 1.989 3.499 5.251 4.393 3.575" Properties=species:S:1:pos:R:3 pbc="T T T"
Mg 0.000 0.000 0.000
Zr 0.639 7.818 4.807
Zr 0.225 2.932 1.800
Au -2.119 7.431 4.082
Au 2.983 3.320 2.525
Au -2.146 4.610 2.384
Au 3.010 6.141 4.224
```


# 3
DFT (GGA-PBE) results for crystalline Mg2ZrAu at its relaxed geometry.

Calculated values
Uncorrected energy ... -15.36 eV for the cell shown
V ... 20.63 Å³/atom
Space group ... Cmmm, No. 65
Formation energy ... -0.34 eV per formula unit
Energy above the lowest structure with this stoichiometry ... 0.192 eV per atom

extended XYZ file:
```
4
Lattice="5.650 -0.018 0.000 -2.440 5.096 0.000 0.000 0.000 2.870" Properties=species:S:1:pos:R:3 pbc="T T T"
Au -1.220 2.548 1.435
Mg 0.000 0.000 0.000
Mg 1.605 2.539 0.000
Zr 2.825 -0.009 1.435
```


# 4
DFT (GGA-PBE) results for crystalline Mg2ZrAu at its relaxed geometry.

Calculated values
Uncorrected energy ... -15.58 eV for the cell shown
V ... 20.69 Å³/atom
Space group ... R3m, No. 160
Formation energy ... -0.56 eV per formula unit
Energy above the lowest structure with this stoichiometry ... 0.138 eV per atom

extended XYZ file:
```
4
Lattice="-3.068 0.559 -0.089 -1.920 -1.529 1.925 -0.569 6.758 7.326" Properties=species:S:1:pos:R:3 pbc="T T T"
Mg -0.814 5.169 5.819
Mg -1.416 1.274 2.127
Zr -2.781 2.879 4.566
Au -3.324 -0.640 1.231
```


# 5
DFT (GGA-PBE) results for crystalline MgZr4Au5 at its relaxed geometry.

Calculated values
Uncorrected energy ... -57.28 eV for the cell shown
V ... 19.53 Å³/atom
Space group ... P4/mmm, No. 123
Formation energy ... -5.10 eV per formula unit

extended XYZ file:
```
10
Lattice="-0.567 -2.357 1.996 1.676 -1.939 -1.814 16.367 4.655 10.144" Properties=species:S:1:pos:R:3 pbc="T T T"
Mg 0.000 0.000 0.000
Zr 3.150 0.896 1.952
Zr 6.505 1.850 4.032
Zr 9.862 2.805 6.112
Zr 13.217 3.759 8.192
Au 2.048 -1.723 1.016
Au 5.382 -0.775 3.083
Au 8.738 0.180 5.163
Au 12.094 1.134 7.243
Au 15.428 2.083 9.310
```


# 6
DFT (GGA-PBE) results for crystalline Mg2ZrAu at its relaxed geometry.

Calculated values
Uncorrected energy ... -16.13 eV for the cell shown
V ... 20.50 Å³/atom
Space group ... P4mm, No. 99
Formation energy ... -1.11 eV per formula unit
Energy above the lowest structure with this stoichiometry ... 0.000 eV per atom

extended XYZ file:
```
4
Lattice="3.398 0.000 0.000 0.000 3.398 0.000 0.000 0.000 7.099" Properties=species:S:1:pos:R:3 pbc="T T T"
Au 1.699 1.699 5.390
Mg 0.000 0.000 6.944
Mg 1.699 1.699 1.732
Zr 0.000 0.000 3.682
```


# 7
DFT (GGA-PBE) results for crystalline Mg2ZrAu at its relaxed geometry.

Calculated values
Uncorrected energy ... -15.58 eV for the cell shown
V ... 20.52 Å³/atom
Space group ... C2/m, No. 12
Formation energy ... -0.56 eV per formula unit
Energy above the lowest structure with this stoichiometry ... 0.137 eV per atom

extended XYZ file:
```
4
Lattice="-1.705 -5.166 0.220 3.360 1.805 4.552 -2.019 0.459 2.092" Properties=species:S:1:pos:R:3 pbc="T T T"
Au 0.828 -1.680 2.386
Mg 0.000 0.000 0.000
Mg -1.862 -2.353 1.156
Zr 0.671 1.132 3.322
```


# 8
DFT (GGA-PBE) results for crystalline Mg2ZrAu at its relaxed geometry.

Calculated values
Uncorrected energy ... -15.98 eV for the cell shown
V ... 20.56 Å³/atom
Space group ... Pm, No. 6
Formation energy ... -0.96 eV per formula unit
Energy above the lowest structure with this stoichiometry ... 0.038 eV per atom

extended XYZ file:
```
4
Lattice="4.561 0.000 0.000 0.000 3.043 -0.143 0.000 1.812 5.838" Properties=species:S:1:pos:R:3 pbc="T T T"
Au 2.281 4.210 4.155
Mg 0.000 2.470 -0.077
Mg 2.281 1.017 1.303
Zr 0.000 2.629 3.019
```


# 9
DFT (GGA-PBE) results for crystalline Mg2ZrAu at its relaxed geometry.

Calculated values
Uncorrected energy ... -15.59 eV for the cell shown
V ... 20.67 Å³/atom
Space group ... R-3m, No. 166
Formation energy ... -0.58 eV per formula unit
Energy above the lowest structure with this stoichiometry ... 0.133 eV per atom

extended XYZ file:
```
4
Lattice="-2.936 -8.631 -4.238 -1.563 -9.784 -1.701 -4.520 -8.841 -1.574" Properties=species:S:1:pos:R:3 pbc="T T T"
Au -6.765 -20.442 -5.635
Mg -0.071 -0.215 -0.059
Mg -4.439 -13.413 -3.698
Zr -2.255 -6.814 -1.878
```


# 10
DFT (GGA-PBE) results for crystalline MgZrAu4 at its relaxed geometry.

Calculated values
Uncorrected energy ... -26.52 eV for the cell shown
V ... 18.67 Å³/atom
Space group ... C2/m, No. 12
Formation energy ... -3.27 eV per formula unit
Energy above the lowest structure with this stoichiometry ... 0.000 eV per atom

extended XYZ file:
```
6
Lattice="-0.747 3.216 1.287 0.350 0.008 5.063 5.721 3.994 -1.781" Properties=species:S:1:pos:R:3 pbc="T T T"
Mg 0.000 0.000 0.000
Zr 2.662 3.609 2.285
Au 4.329 5.998 2.161
Au 1.645 2.395 -0.151
Au 0.995 1.220 2.409
Au 3.680 4.823 4.720
```


# 11
DFT (GGA-PBE) results for crystalline Mg2ZrAu at its relaxed geometry.

Calculated values
Uncorrected energy ... -15.88 eV for the cell shown
V ... 20.80 Å³/atom
Space group ... Immm, No. 71
Formation energy ... -0.86 eV per formula unit
Energy above the lowest structure with this stoichiometry ... 0.063 eV per atom

extended XYZ file:
```
4
Lattice="6.023 -0.017 -0.002 5.221 3.002 -0.002 2.159 0.573 4.578" Properties=species:S:1:pos:R:3 pbc="T T T"
Au 10.052 2.669 3.430
Mg 2.407 0.639 4.453
Mg 6.453 1.714 2.412
Zr 3.351 0.890 1.143
```


# 12
DFT (GGA-PBE) results for crystalline Mg2ZrAu3 at its relaxed geometry.

Calculated values
Uncorrected energy ... -25.02 eV for the cell shown
V ... 18.72 Å³/atom
Space group ... P4/mmm, No. 123
Formation energy ... -3.45 eV per formula unit

extended XYZ file:
```
6
Lattice="-0.736 3.034 1.004 -3.136 -0.486 -0.831 -1.973 -3.650 9.581" Properties=species:S:1:pos:R:3 pbc="T T T"
Mg -3.594 -1.793 8.138
Mg -2.251 0.691 1.617
Zr -2.922 -0.551 4.877
Au 0.000 0.000 0.000
Au -1.340 -2.480 6.509
Au -0.632 -1.170 3.072
```